1:
Material: Li2ZrZn2
Method: DFT, PBE-GGA
State: optimized geometry

Computed properties:
Theoretical density, g/cm3: 4.89
Volume, A^3/atom: 16.0

abc: 7.670 7.670 2.725
angles: 90.00 90.00 90.00
Space group P4/mbm (No. 127)
Inequivalent atoms, fractional coordinates:
Li 0.117 0.383 0.000 [4 per cell]
Zr 0.000 0.000 0.000 [2 per cell]
Zn 0.182 0.682 0.500 [4 per cell]

***

2:
Material: Li2ZrZn2
Method: DFT, PBE-GGA
State: optimized geometry

Computed properties:
Theoretical density, g/cm3: 4.58
Volume, A^3/atom: 17.1

abc: 3.657 3.657 12.803
angles: 90.00 90.00 90.00
Space group I4/mmm (No. 139)
Inequivalent atoms, fractional coordinates:
Li 0.000 0.500 0.250 [4 per cell]
Zr 0.000 0.000 0.000 [2 per cell]
Zn 0.000 0.000 0.398 [4 per cell]

***

Ordering by calculated energy gives the sequence 1, 2, with the first entry being the most stable.

***

1:
Material: LiZr3
Method: DFT, PBE-GGA
State: optimized geometry

Computed properties:
Theoretical density, g/cm3: 5.38
Volume, A^3/atom: 21.6

abc: 10.0706 10.0706 2.9569
angles: 90.00 90.00 120.00
Space group R-3m (No. 166, hexagonal axes)
Inequivalent atoms, fractional coordinates:
Li 0.0000 0.0000 0.0000 [3 per cell]
Zr 0.0000 0.5000 0.0000 [9 per cell]

***

2:
Material: LiZr3
Method: DFT, PBE-GGA
State: optimized geometry

Computed properties:
Theoretical density, g/cm3: 5.09
Volume, A^3/atom: 22.9

abc: 3.1463 3.1463 10.6793
angles: 90.00 90.00 120.00
Space group P-6m2 (No. 187)
Inequivalent atoms, fractional coordinates:
Li 0.0000 0.0000 0.0000 [1 per cell]
Zr 0.0000 0.0000 0.5000 [1 per cell]
Zr 0.6667 0.3333 0.2582 [2 per cell]

***

Ordering by calculated energy gives the sequence 2, 1, with the first entry being the most stable.

***

1:
Material: LiZr3
Method: DFT, PBE-GGA
State: optimized geometry

Computed properties:
Theoretical density, g/cm3: 5.44
Volume, A^3/atom: 21.4

abc: 3.231 3.849 6.893
angles: 90.00 90.00 90.00
Space group Pmmm (No. 47)
Inequivalent atoms, fractional coordinates:
Li 0.000 0.000 0.000 [1 per cell]
Zr 0.000 0.000 0.500 [1 per cell]
Zr 0.500 0.500 0.245 [2 per cell]

***

2:
Material: LiZr3
Method: DFT, PBE-GGA
State: optimized geometry

Computed properties:
Theoretical density, g/cm3: 5.37
Volume, A^3/atom: 21.7

abc: 5.224 5.224 3.180
angles: 90.00 90.00 90.00
Space group P4/mmm (No. 123)
Inequivalent atoms, fractional coordinates:
Li 0.000 0.000 0.000 [1 per cell]
Zr 0.000 0.500 0.500 [2 per cell]
Zr 0.500 0.500 0.000 [1 per cell]

***

Ordering by calculated energy gives the sequence 1, 2, with the first entry being the most stable.

***

1:
Material: LiZr3
Method: DFT, PBE-GGA
State: optimized geometry

Computed properties:
Theoretical density, g/cm3: 5.46
Volume, A^3/atom: 21.3

abc: 4.403 4.403 4.403
angles: 90.00 90.00 90.00
Space group Pm-3m (No. 221)
Inequivalent atoms, fractional coordinates:
Li 0.000 0.000 0.000 [1 per cell]
Zr 0.000 0.500 0.500 [3 per cell]

***

2:
Material: LiZr3
Method: DFT, PBE-GGA
State: optimized geometry

Computed properties:
Theoretical density, g/cm3: 5.50
Volume, A^3/atom: 21.2

abc: 3.326 5.033 10.116
angles: 90.00 90.00 90.00
Space group Immm (No. 71)
Inequivalent atoms, fractional coordinates:
Li 0.000 0.000 0.000 [2 per cell]
Zr 0.000 0.000 0.500 [2 per cell]
Zr 0.000 0.500 0.275 [4 per cell]

***

3:
Material: LiZr3
Method: DFT, PBE-GGA
State: optimized geometry

Computed properties:
Theoretical density, g/cm3: 5.14
Volume, A^3/atom: 22.7

abc: 3.1243 3.1243 32.2014
angles: 90.00 90.00 120.00
Space group R-3m (No. 166, hexagonal axes)
Inequivalent atoms, fractional coordinates:
Li 0.0000 0.0000 0.0000 [3 per cell]
Zr 0.0000 0.0000 0.2486 [6 per cell]
Zr 0.0000 0.0000 0.5000 [3 per cell]

***

4:
Material: LiZr3
Method: DFT, PBE-GGA
State: optimized geometry

Computed properties:
Theoretical density, g/cm3: 5.35
Volume, A^3/atom: 21.8

abc: 2.941 4.947 6.152
angles: 90.00 103.35 90.00
Space group P2/m (No. 10)
Inequivalent atoms, fractional coordinates:
Li 0.000 0.000 0.000 [1 per cell]
Zr 0.000 0.000 0.500 [1 per cell]
Zr 0.418 0.500 0.249 [2 per cell]

***

Ordering by calculated energy gives the sequence 3, 2, 1, 4, with the first entry being the most stable.

***

1:
Material: LiZr3
Method: DFT, PBE-GGA
State: optimized geometry

Computed properties:
Theoretical density, g/cm3: 5.49
Volume, A^3/atom: 21.2

abc: 5.581 9.940 6.114
angles: 90.00 90.00 90.00
Space group Pnma (No. 62)
Inequivalent atoms, fractional coordinates:
Li 0.091 0.250 0.136 [4 per cell]
Zr 0.001 0.250 0.663 [4 per cell]
Zr 0.246 0.525 0.883 [8 per cell]

***

2:
Material: LiZr3
Method: DFT, PBE-GGA
State: optimized geometry

Computed properties:
Theoretical density, g/cm3: 5.34
Volume, A^3/atom: 21.8

abc: 3.200 3.200 8.516
angles: 90.00 90.00 90.00
Space group P4/mmm (No. 123)
Inequivalent atoms, fractional coordinates:
Li 0.000 0.000 0.000 [1 per cell]
Zr 0.000 0.000 0.500 [1 per cell]
Zr 0.500 0.500 0.244 [2 per cell]

***

Ordering by calculated energy gives the sequence 2, 1, with the first entry being the most stable.

***

1:
Material: LiZr5
Method: DFT, PBE-GGA
State: optimized geometry

Computed properties:
Theoretical density, g/cm3: 5.36
Volume, A^3/atom: 23.9

abc: 8.309 8.309 8.309
angles: 90.00 90.00 90.00
Space group F-43m (No. 216)
Inequivalent atoms, fractional coordinates:
Li 0.000 0.000 0.000 [4 per cell]
Zr 0.123 0.123 0.377 [16 per cell]
Zr 0.250 0.250 0.750 [4 per cell]

***

2:
Material: LiZr5
Method: DFT, PBE-GGA
State: optimized geometry

Computed properties:
Theoretical density, g/cm3: 5.81
Volume, A^3/atom: 22.1

abc: 4.525 13.215 4.428
angles: 90.00 90.00 90.00
Space group Cmmm (No. 65)
Inequivalent atoms, fractional coordinates:
Li 0.000 0.000 0.000 [2 per cell]
Zr 0.000 0.164 0.500 [4 per cell]
Zr 0.000 0.333 0.000 [4 per cell]
Zr 0.000 0.500 0.500 [2 per cell]

***

Ordering by calculated energy gives the sequence 2, 1, with the first entry being the most stable.

***

1:
Material: LiZr5
Method: DFT, PBE-GGA
State: optimized geometry

Computed properties:
Theoretical density, g/cm3: 4.96
Volume, A^3/atom: 25.8

abc: 6.0373 6.0373 4.9106
angles: 90.00 90.00 120.00
Space group P6/mmm (No. 191)
Inequivalent atoms, fractional coordinates:
Li 0.0000 0.0000 0.0000 [1 per cell]
Zr 0.0000 0.5000 0.5000 [3 per cell]
Zr 0.3333 0.6667 0.0000 [2 per cell]

***

2:
Material: LiZr5
Method: DFT, PBE-GGA
State: optimized geometry

Computed properties:
Theoretical density, g/cm3: 5.70
Volume, A^3/atom: 22.5

abc: 5.231 3.146 16.409
angles: 90.00 90.00 90.00
Space group Amm2 (No. 38)
Inequivalent atoms, fractional coordinates:
Li 0.000 0.000 0.000 [2 per cell]
Zr 0.000 0.000 0.338 [2 per cell]
Zr 0.000 0.000 0.670 [2 per cell]
Zr 0.500 0.000 0.222 [2 per cell]
Zr 0.500 0.000 0.557 [2 per cell]
Zr 0.500 0.000 0.890 [2 per cell]

***

Ordering by calculated energy gives the sequence 2, 1, with the first entry being the most stable.

***

1:
Material: Li2Zr
Method: DFT, PBE-GGA
State: optimized geometry

Computed properties:
Theoretical density, g/cm3: 2.47
Volume, A^3/atom: 23.6

abc: 6.564 6.564 6.564
angles: 90.00 90.00 90.00
Space group Fm-3m (No. 225)
Inequivalent atoms, fractional coordinates:
Li 0.250 0.250 0.250 [8 per cell]
Zr 0.000 0.000 0.000 [4 per cell]

***

2:
Material: Li2Zr
Method: DFT, PBE-GGA
State: optimized geometry

Computed properties:
Theoretical density, g/cm3: 3.07
Volume, A^3/atom: 18.9

abc: 7.688 7.688 7.688
angles: 90.00 90.00 90.00
Space group Fd-3m (No. 227, origin choice 2)
Inequivalent atoms, fractional coordinates:
Li 0.000 0.000 0.000 [16 per cell]
Zr 0.125 0.125 0.625 [8 per cell]

***

Ordering by calculated energy gives the sequence 2, 1, with the first entry being the most stable.

***

1:
Material: Li2Zr
Method: DFT, PBE-GGA
State: optimized geometry

Computed properties:
Theoretical density, g/cm3: 2.91
Volume, A^3/atom: 20.0

abc: 2.914 2.914 14.146
angles: 90.00 90.00 90.00
Space group I4/mmm (No. 139)
Inequivalent atoms, fractional coordinates:
Li 0.000 0.000 0.172 [4 per cell]
Zr 0.000 0.000 0.500 [2 per cell]

***

2:
Material: Li2Zr
Method: DFT, PBE-GGA
State: optimized geometry

Computed properties:
Theoretical density, g/cm3: 2.05
Volume, A^3/atom: 28.4

abc: 5.468 5.468 2.852
angles: 90.00 90.00 90.00
Space group P4/mmm (No. 123)
Inequivalent atoms, fractional coordinates:
Li 0.000 0.500 0.000 [2 per cell]
Zr 0.000 0.000 0.500 [1 per cell]

***

Ordering by calculated energy gives the sequence 1, 2, with the first entry being the most stable.

***

1:
Material: Li2Zr
Method: DFT, PBE-GGA
State: optimized geometry

Computed properties:
Theoretical density, g/cm3: 2.99
Volume, A^3/atom: 19.4

abc: 2.754 4.664 9.075
angles: 90.00 90.00 90.00
Space group Immm (No. 71)
Inequivalent atoms, fractional coordinates:
Li 0.000 0.000 0.167 [4 per cell]
Zr 0.000 0.000 0.500 [2 per cell]

***

2:
Material: Li2Zr
Method: DFT, PBE-GGA
State: optimized geometry

Computed properties:
Theoretical density, g/cm3: 3.03
Volume, A^3/atom: 19.2

abc: 4.9047 4.9047 2.7631
angles: 90.00 90.00 120.00
Space group P6/mmm (No. 191)
Inequivalent atoms, fractional coordinates:
Li 0.3333 0.6667 0.0000 [2 per cell]
Zr 0.0000 0.0000 0.5000 [1 per cell]

***

3:
Material: Li2Zr
Method: DFT, PBE-GGA
State: optimized geometry

Computed properties:
Theoretical density, g/cm3: 2.81
Volume, A^3/atom: 20.7

abc: 2.884 2.884 29.907
angles: 90.00 90.00 90.00
Space group I4_1/amd (No. 141, origin choice 2)
Inequivalent atoms, fractional coordinates:
Li 0.000 0.250 0.292 [8 per cell]
Zr 0.000 0.250 0.875 [4 per cell]

***

Ordering by calculated energy gives the sequence 3, 2, 1, with the first entry being the most stable.

***

1:
Material: LiZr4
Method: DFT, PBE-GGA
State: optimized geometry

Computed properties:
Theoretical density, g/cm3: 5.55
Volume, A^3/atom: 22.2

abc: 4.809 4.809 4.809
angles: 90.00 90.00 90.00
Space group Pm-3m (No. 221)
Inequivalent atoms, fractional coordinates:
Li 0.000 0.000 0.000 [1 per cell]
Zr 0.000 0.000 0.500 [3 per cell]
Zr 0.500 0.500 0.500 [1 per cell]

***

2:
Material: LiZr4
Method: DFT, PBE-GGA
State: optimized geometry

Computed properties:
Theoretical density, g/cm3: 5.37
Volume, A^3/atom: 23.0

abc: 6.127 6.127 6.127
angles: 90.00 90.00 90.00
Space group Im-3m (No. 229)
Inequivalent atoms, fractional coordinates:
Li 0.000 0.000 0.000 [2 per cell]
Zr 0.250 0.250 0.250 [8 per cell]

***

Ordering by calculated energy gives the sequence 1, 2, with the first entry being the most stable.

***

1:
Material: Lu2MgPa
Method: DFT, PBE-GGA
State: optimized geometry

Computed properties:
Theoretical density, g/cm3: 9.56
Volume, A^3/atom: 26.3

abc: 5.513 5.513 3.459
angles: 90.00 90.00 90.00
Space group P4/mmm (No. 123)
Inequivalent atoms, fractional coordinates:
Lu 0.000 0.500 0.000 [2 per cell]
Mg 0.000 0.000 0.500 [1 per cell]
Pa 0.500 0.500 0.500 [1 per cell]

***

2:
Material: Lu2MgPa
Method: DFT, PBE-GGA
State: optimized geometry

Computed properties:
Theoretical density, g/cm3: 9.30
Volume, A^3/atom: 27.0

abc: 7.561 7.561 7.561
angles: 90.00 90.00 90.00
Space group Fm-3m (No. 225)
Inequivalent atoms, fractional coordinates:
Lu 0.250 0.250 0.250 [8 per cell]
Mg 0.000 0.000 0.000 [4 per cell]
Pa 0.000 0.000 0.500 [4 per cell]

***

Ordering by calculated energy gives the sequence 1, 2, with the first entry being the most stable.